(1)
VASP calculation (PBE-GGA) on an optimized crystal structure of Sr2UAu2S6.

Results
E, eV/cell: -57.13
Uncorrected formation energy, eV/atom: -1.01

CIF file:
```
data_Sr2UAu2S6
_cell_length_a 7.3046
_cell_length_b 7.3046
_cell_length_c 6.5284
_cell_angle_alpha 90.00
_cell_angle_beta 90.00
_cell_angle_gamma 120.00
_space_group_name_H-M_alt 'P -3'
_space_group_IT_number 147
loop_
_space_group_symop_operation_xyz
'x,y,z'
'-x,-y,-z'
'-y,x-y,z'
'y,-x+y,-z'
'-x+y,-x,z'
'x-y,x,-z'
loop_
_atom_site_label
_atom_site_type_symbol
_atom_site_fract_x
_atom_site_fract_y
_atom_site_fract_z
Sr1 Sr 0.3333 0.6667 0.2383
U1 U 0.0000 0.0000 0.0000
Au1 Au 0.3333 0.6667 0.7536
S1 S 0.0503 0.3043 0.7632
```

***

(2)
VASP calculation (PBE-GGA) on an optimized crystal structure of BeH2OsPd.

Results
E, eV/cell: -20.93

CIF file:
```
data_BeH2OsPd
_cell_length_a 3.5862
_cell_length_b 3.5862
_cell_length_c 4.4479
_cell_angle_alpha 90.00
_cell_angle_beta 90.00
_cell_angle_gamma 90.00
_space_group_name_H-M_alt 'P 4/m m m'
_space_group_IT_number 123
_space_group_name_Hall '-P 4 2'
loop_
_atom_site_label
_atom_site_type_symbol
_atom_site_fract_x
_atom_site_fract_y
_atom_site_fract_z
Be1 Be 0.0000 0.0000 0.0000
H1 H 0.0000 0.5000 0.0000
Os1 Os 0.5000 0.5000 0.5000
Pd1 Pd 0.0000 0.0000 0.5000
```

***

(3)
VASP calculation (PBE-GGA) on an optimized crystal structure of Zr2ReNiH.

Results
E, eV/cell: -39.68

CIF file:
```
data_Zr2ReNiH
_cell_length_a 4.5399
_cell_length_b 4.5399
_cell_length_c 3.5699
_cell_angle_alpha 90.00
_cell_angle_beta 90.00
_cell_angle_gamma 90.00
_space_group_name_H-M_alt 'P 4/m m m'
_space_group_IT_number 123
_space_group_name_Hall '-P 4 2'
loop_
_atom_site_label
_atom_site_type_symbol
_atom_site_fract_x
_atom_site_fract_y
_atom_site_fract_z
Zr1 Zr 0.0000 0.5000 0.0000
Re1 Re 0.0000 0.0000 0.5000
Ni1 Ni 0.5000 0.5000 0.5000
H1 H 0.0000 0.0000 0.0000
```

***

(4)
VASP calculation (PBE-GGA) on an optimized crystal structure of NiRuPt2.

Results
E, eV/cell: -54.42
ΔH_f (0 K), meV per atom: -18

CIF file:
```
data_NiRuPt2
_cell_length_a 3.8247
_cell_length_b 3.8247
_cell_length_c 7.6999
_cell_angle_alpha 90.00
_cell_angle_beta 90.00
_cell_angle_gamma 90.00
_space_group_name_H-M_alt 'I 4/m m m'
_space_group_IT_number 139
_space_group_name_Hall '-I 4 2'
loop_
_atom_site_label
_atom_site_type_symbol
_atom_site_fract_x
_atom_site_fract_y
_atom_site_fract_z
Ni1 Ni 0.0000 0.0000 0.0000
Ru1 Ru 0.0000 0.0000 0.5000
Pt1 Pt 0.0000 0.5000 0.2500
```

***

(5)
VASP calculation (PBE-GGA) on an optimized crystal structure of Cs2RhBrCl5.

Results
E, eV/cell: -61.34
Uncorrected formation energy, eV/atom: -1.19

CIF file:
```
data_Cs2RhBrCl5
_cell_length_a 7.5654
_cell_length_b 7.5654
_cell_length_c 10.3202
_cell_angle_alpha 90.00
_cell_angle_beta 90.00
_cell_angle_gamma 90.00
_space_group_name_H-M_alt 'I 4 m m'
_space_group_IT_number 107
_space_group_name_Hall 'I 4 -2'
loop_
_atom_site_label
_atom_site_type_symbol
_atom_site_fract_x
_atom_site_fract_y
_atom_site_fract_z
Cs1 Cs 0.0000 0.5000 0.0000
Rh1 Rh 0.0000 0.0000 0.2505
Br1 Br 0.0000 0.0000 0.4919
Cl1 Cl 0.0000 0.0000 0.0222
Cl2 Cl 0.2202 0.2202 0.2502
```

***

(6)
VASP calculation (PBE-GGA) on an optimized crystal structure of BaGe3N.

Results
E, eV/cell: -21.93
Uncorrected formation energy, eV/atom: 0.43

CIF file:
```
data_BaGe3N
_cell_length_a 4.7395
_cell_length_b 4.7395
_cell_length_c 4.7395
_cell_angle_alpha 90.00
_cell_angle_beta 90.00
_cell_angle_gamma 90.00
_space_group_name_H-M_alt 'P m -3 m'
_space_group_IT_number 221
_space_group_name_Hall '-P 4 2 3'
loop_
_atom_site_label
_atom_site_type_symbol
_atom_site_fract_x
_atom_site_fract_y
_atom_site_fract_z
Ba1 Ba 0.0000 0.0000 0.0000
Ge1 Ge 0.0000 0.5000 0.5000
N1 N 0.5000 0.5000 0.5000
```